[1]
# Cr2HIrRh

Cr2HIrRh after structural relaxation (PBE, Alexandria).

Cell and atoms, written as CIF:
```
data_Cr2HIrRh
_symmetry_space_group_name_H-M 'P 4/m m m'
_symmetry_Int_Tables_number 123
_symmetry_space_group_name_Hall '-P 4 2'
_cell_length_a 3.8034
_cell_length_b 3.8034
_cell_length_c 3.7527
_cell_angle_alpha 90.00
_cell_angle_beta 90.00
_cell_angle_gamma 90.00
loop_
_atom_site_label
_atom_site_type_symbol
_atom_site_fract_x
_atom_site_fract_y
_atom_site_fract_z
Cr1 Cr 0.0000 0.5000 0.0000
H1 H 0.0000 0.0000 0.0000
Ir1 Ir 0.5000 0.5000 0.5000
Rh1 Rh 0.0000 0.0000 0.5000
```

V	54.3	Å³/f.u.
DOS(E_F)	4.23	states/eV per cell
polymorph energy (0 for the lowest one)	0.0	meV per atom

[2]
# Cr2HIrRu

Cr2HIrRu after structural relaxation (PBE, Alexandria).

Cell and atoms, written as CIF:
```
data_Cr2HIrRu
_symmetry_space_group_name_H-M 'P 4/m m m'
_symmetry_Int_Tables_number 123
_symmetry_space_group_name_Hall '-P 4 2'
_cell_length_a 3.8118
_cell_length_b 3.8118
_cell_length_c 3.7365
_cell_angle_alpha 90.00
_cell_angle_beta 90.00
_cell_angle_gamma 90.00
loop_
_atom_site_label
_atom_site_type_symbol
_atom_site_fract_x
_atom_site_fract_y
_atom_site_fract_z
Cr1 Cr 0.0000 0.5000 0.0000
H1 H 0.0000 0.0000 0.0000
Ir1 Ir 0.0000 0.0000 0.5000
Ru1 Ru 0.5000 0.5000 0.5000
```

V	54.3	Å³/f.u.
DOS(E_F)	5.18	states/eV per cell
polymorph energy (0 for the lowest one)	47.9	meV per atom

[3]
# Cr2HIrRu

Cr2HIrRu after structural relaxation (PBE, Alexandria).

Cell and atoms, written as CIF:
```
data_Cr2HIrRu
_symmetry_space_group_name_H-M 'P 4/m m m'
_symmetry_Int_Tables_number 123
_symmetry_space_group_name_Hall '-P 4 2'
_cell_length_a 3.8058
_cell_length_b 3.8058
_cell_length_c 3.7325
_cell_angle_alpha 90.00
_cell_angle_beta 90.00
_cell_angle_gamma 90.00
loop_
_atom_site_label
_atom_site_type_symbol
_atom_site_fract_x
_atom_site_fract_y
_atom_site_fract_z
Cr1 Cr 0.0000 0.5000 0.0000
H1 H 0.0000 0.0000 0.0000
Ir1 Ir 0.5000 0.5000 0.5000
Ru1 Ru 0.0000 0.0000 0.5000
```

V	54.1	Å³/f.u.
DOS(E_F)	5.42	states/eV per cell
polymorph energy (0 for the lowest one)	0.0	meV per atom

[4]
# CrSb2HIr

CrSb2HIr after structural relaxation (PBE, Alexandria).

Cell and atoms, written as CIF:
```
data_CrSb2HIr
_symmetry_space_group_name_H-M 'P 4/m m m'
_symmetry_Int_Tables_number 123
_symmetry_space_group_name_Hall '-P 4 2'
_cell_length_a 5.0325
_cell_length_b 5.0325
_cell_length_c 5.1785
_cell_angle_alpha 90.00
_cell_angle_beta 90.00
_cell_angle_gamma 90.00
loop_
_atom_site_label
_atom_site_type_symbol
_atom_site_fract_x
_atom_site_fract_y
_atom_site_fract_z
Cr1 Cr 0.0000 0.0000 0.0000
Sb1 Sb 0.0000 0.5000 0.5000
H1 H 0.5000 0.5000 0.0000
Ir1 Ir 0.0000 0.0000 0.5000
```

V	131.2	Å³/f.u.
DOS(E_F)	5.43	states/eV per cell
E_tot	-25.05	eV per cell

DOS(E_F) of number 1 (Cr2HIrRh)? 4.23 states/eV per cell

What is the DOS(E_F) in the fourth record? 5.43 states/eV per cell